Computed, not measured: an optimized crystal structure of K3WF6 at the GGA+U level of DFT.

```
K3WF6
1.0
-6.493 -0.213 3.537
2.393 -6.093 3.444
2.973 4.410 5.141
W K F
2 6 12
direct
0.000 0.000 0.000
0.500 0.500 0.500
0.438 0.938 0.746
0.938 0.746 0.438
0.746 0.438 0.938
0.562 0.062 0.254
0.062 0.254 0.562
0.254 0.562 0.062
0.063 0.935 0.727
0.426 0.226 0.549
0.549 0.426 0.226
0.226 0.549 0.426
0.774 0.451 0.574
0.273 0.937 0.065
0.937 0.065 0.273
0.065 0.273 0.937
0.935 0.727 0.063
0.574 0.774 0.451
0.451 0.574 0.774
0.727 0.063 0.935
```

polymorph energy (0 for the lowest one): 0.00 eV/f.u.
N(E_F): 0.000 states/eV per cell